# MgCrSe

A relaxed structure of MgCrSe (PBE-GGA, Alexandria).

Unit cell a=3.1655 b=3.1655 c=6.1561 alpha=90.00 beta=90.00 gamma=120.00
Space group P3m1 (No. 156)
Unique sites:
1 Mg 0.0000 0.0000 0.0000 x1
2 Cr 0.3333 0.6667 0.6553 x1
3 Se 0.6667 0.3333 0.4091 x1

## Properties
density = 4.83 g/cm3
energy above the lowest structure with this stoichiometry = 97.0 meV per atom
raw formation energy = -29 meV/atom